## NbCl (PBE)

Data for a relaxed structure of NbCl.

It has space group P4_2/mnm (No. 136), with a = 6.248 Å, b = 6.248 Å, c = 4.927 Å, α = 90.00°, β = 90.00° and γ = 90.00°. Symmetry generates all atoms from Nb at (0.123, 0.123, 0.000) and Cl at (0.209, 0.209, 0.500).

The value obtained for the uncorrected energy is -45.52 eV/cell. The formation energy from raw total energies comes out at 0.268 eV per atom. The calculation puts the volume at 24.05 Å³ per atom. Its size of the total moment is 0.000 μB/f.u.

## NaYZnHg (PBE)

Data for a relaxed structure of NaYZnHg.

It has space group F-43m (No. 216), with a = 7.195 Å, b = 7.195 Å, c = 7.195 Å, α = 90.00°, β = 90.00° and γ = 90.00°. Symmetry generates all atoms from Na at (0.000, 0.000, 0.000), Y at (0.000, 0.000, 0.500), Zn at (0.250, 0.250, 0.750) and Hg at (0.250, 0.250, 0.250).

The formation energy comes out at -0.21 eV per atom. The value obtained for the uncorrected energy is -40.79 eV/cell. The calculation puts the volume at 23.28 Å³ per atom. Its size of the total moment is 0.000 μB/f.u.

## La4ZnBr3 (PBE)

Data for a relaxed structure of La4ZnBr3.

It has space group Cmmm (No. 65), with a = 8.830 Å, b = 12.415 Å, c = 4.308 Å, α = 90.00°, β = 90.00° and γ = 90.00°. Symmetry generates all atoms from La at (0.000, 0.244, 0.000), La at (0.240, 0.000, 0.500), Zn at (0.000, 0.000, 0.000), Br at (0.000, 0.500, 0.000) and Br at (0.250, 0.250, 0.500).

The value obtained for the uncorrected energy is -68.52 eV/cell. The formation energy from raw total energies comes out at -1.032 eV per atom. The calculation puts the volume at 29.52 Å³ per atom. Its size of the total moment is 0.000 μB/f.u.

## Ac5SbSe4 (PBE)

Data for a relaxed structure of Ac5SbSe4.

It has space group I4/mmm (No. 139), with a = 4.546 Å, b = 4.546 Å, c = 32.055 Å, α = 90.00°, β = 90.00° and γ = 90.00°. Symmetry generates all atoms from Ac at (0.000, 0.000, 0.000), Ac at (0.000, 0.000, 0.201), Ac at (0.000, 0.000, 0.397), Sb at (0.000, 0.000, 0.500), Se at (0.000, 0.000, 0.101) and Se at (0.000, 0.000, 0.299).

The value obtained for the uncorrected energy is -111.70 eV/cell. The formation energy from raw total energies comes out at -1.725 eV per atom. The calculation puts the volume at 33.13 Å³ per atom. Its size of the total moment is 0.000 μB/f.u.

## Sm5DyHo4 (PBE)

Data for a relaxed structure of Sm5DyHo4.

It has space group I4 (No. 79), with a = 10.245 Å, b = 10.245 Å, c = 6.273 Å, α = 90.00°, β = 90.00° and γ = 90.00°. Symmetry generates all atoms from Sm at (0.000, 0.000, 0.000), Sm at (0.150, 0.771, 0.270), Dy at (0.000, 0.000, 0.541) and Ho at (0.043, 0.656, 0.767).

The formation energy comes out at 0.29 eV per atom. The value obtained for the uncorrected energy is -87.12 eV/cell. The calculation puts the volume at 32.92 Å³ per atom. Its size of the total moment is 0.000 μB/f.u.

## ErNi5Ir (PBE)

Data for a relaxed structure of ErNi5Ir.

It has space group Pnma (No. 62), with a = 7.868 Å, b = 4.840 Å, c = 9.881 Å, α = 90.00°, β = 90.00° and γ = 90.00°. Symmetry generates all atoms from Er at (0.244, 0.250, 0.060), Ni at (0.060, 0.750, 0.092), Ni at (0.067, 0.006, 0.309), Ni at (0.100, 0.250, 0.521), Ni at (0.182, 0.250, 0.758) and Ir at (0.147, 0.750, 0.852).

The formation energy comes out at -0.27 eV per atom. The value obtained for the uncorrected energy is -176.97 eV/cell. The calculation puts the volume at 13.44 Å³ per atom. Its size of the total moment is 2.389 μB/f.u.

- Among the records above, which one has the lowest volume?
  ErNi5Ir

- What is the formula in the fourth record?
  Ac5SbSe4